Record 1
The following is a DFT calculation (PBE) of an optimized crystal structure of VCo2Pd.

Values from the calculation:
V ... 50.1 Å³ per cell
Density of states at the Fermi level ... 1.150 states/eV per atom
Energy relative to the elements ... -0.03 eV per atom
Excess energy over the best structure of this formula in the dataset ... 79.4 meV per atom
Magnetization ... 1.11 μB per formula unit

Cell lengths 2.9678, 2.9678, 5.6862 Å; angles 90.00, 90.00, 90.00 degrees
Element x y z (fractional)
V 0.0000 0.0000 0.0000
Co 0.5000 0.5000 0.2174
Co 0.5000 0.5000 0.7826
Pd 0.0000 0.0000 0.5000


Record 2
The following is a DFT calculation (PBE) of an optimized crystal structure of CaGa3Cu5.

Values from the calculation:
V ... 295.1 Å³ per cell
Density of states at the Fermi level ... 0.404 states/eV per atom
Energy relative to the elements ... -0.17 eV per atom
Magnetization ... 0.00 μB per formula unit

Cell lengths 6.6340, 6.6340, 11.8860 Å; angles 90.00, 90.00, 145.66 degrees
Element x y z (fractional)
Ca 0.1745 0.8255 0.7500
Ca 0.8255 0.1745 0.2500
Ga 0.1172 0.8828 0.2500
Ga 0.3799 0.6201 0.0548
Ga 0.3799 0.6201 0.4452
Ga 0.6201 0.3799 0.5548
Ga 0.6201 0.3799 0.9452
Ga 0.8828 0.1172 0.7500
Cu 0.0000 0.0000 0.0000
Cu 0.0000 0.0000 0.5000
Cu 0.1913 0.8087 0.0575
Cu 0.1913 0.8087 0.4425
Cu 0.4459 0.5541 0.6445
Cu 0.4459 0.5541 0.8555
Cu 0.5541 0.4459 0.1445
Cu 0.5541 0.4459 0.3555
Cu 0.8087 0.1913 0.5575
Cu 0.8087 0.1913 0.9425


Record 3
The following is a DFT calculation (PBE) of an optimized crystal structure of RbNiIr2Au.

Values from the calculation:
V ... 116.0 Å³ per cell
Density of states at the Fermi level ... 0.999 states/eV per atom
Energy relative to the elements ... 1.41 eV per atom
Magnetization ... 2.59 μB per formula unit

Cell lengths 4.5757, 4.5757, 5.5396 Å; angles 90.00, 90.00, 90.00 degrees
Element x y z (fractional)
Rb 0.0000 0.0000 0.0000
Ni 0.0000 0.0000 0.5000
Ir 0.0000 0.5000 0.5000
Ir 0.5000 0.0000 0.5000
Au 0.5000 0.5000 0.0000


Record 4
The following is a DFT calculation (PBE) of an optimized crystal structure of KMgTl4.

Values from the calculation:
V ... 385.3 Å³ per cell
Density of states at the Fermi level ... 0.565 states/eV per atom
Energy relative to the elements ... -0.05 eV per atom
Excess energy over the best structure of this formula in the dataset ... 0.0 meV per atom
Magnetization ... 0.00 μB per formula unit

Cell lengths 9.3814, 4.6563, 8.8206 Å; angles 90.00, 90.00, 90.00 degrees
Element x y z (fractional)
K 0.2500 0.0000 0.1214
K 0.7500 0.0000 0.8786
Mg 0.2500 0.0000 0.7072
Mg 0.7500 0.0000 0.2928
Tl 0.0000 0.0000 0.5000
Tl 0.0564 0.5000 0.8141
Tl 0.2500 0.5000 0.4435
Tl 0.4436 0.5000 0.8141
Tl 0.5000 0.0000 0.5000
Tl 0.5564 0.5000 0.1859
Tl 0.7500 0.5000 0.5565
Tl 0.9436 0.5000 0.1859


Record 5
The following is a DFT calculation (PBE) of an optimized crystal structure of Rb3HfNp2S6.

Values from the calculation:
V ... 319.8 Å³ per cell
Density of states at the Fermi level ... 1.878 states/eV per atom
ΔE_f (raw) ... -1380 meV/atom
Magnetization ... 9.01 μB per formula unit

Cell lengths 6.9262, 6.9262, 8.0380 Å; angles 98.27, 98.27, 120.00 degrees
Element x y z (fractional)
Rb 0.0000 0.0000 0.0000
Rb 0.3311 0.6689 0.0000
Rb 0.6689 0.3311 0.0000
Hf 0.5000 0.5000 0.5000
Np 0.1665 0.8335 0.5000
Np 0.8335 0.1665 0.5000
S 0.1220 0.4367 0.3103
S 0.2491 0.2491 0.6905
S 0.4367 0.1220 0.3103
S 0.5633 0.8780 0.6897
S 0.7509 0.7509 0.3095
S 0.8780 0.5633 0.6897


Record 6
The following is a DFT calculation (PBE) of an optimized crystal structure of Na3ReH8.

Values from the calculation:
V ... 115.9 Å³ per cell
Density of states at the Fermi level ... 0.000 states/eV per atom
VASP energy ... -3.84 eV per atom
Magnetization ... 0.00 μB per formula unit

Cell lengths 5.4062, 5.4062, 5.4062 Å; angles 117.30, 117.30, 94.75 degrees
Element x y z (fractional)
Na 0.0000 0.0000 0.0000
Na 0.2500 0.7500 0.5000
Na 0.7500 0.2500 0.5000
Re 0.5000 0.5000 0.0000
H 0.1873 0.1873 0.7565
H 0.2301 0.6533 0.0000
H 0.3467 0.3467 0.5768
H 0.4308 0.4308 0.2435
H 0.5692 0.8127 0.0000
H 0.6533 0.2301 0.0000
H 0.7699 0.7699 0.4232
H 0.8127 0.5692 0.0000


Record 7
The following is a DFT calculation (PBE) of an optimized crystal structure of Tb3AlTl.

Values from the calculation:
V ... 273.2 Å³ per cell
Density of states at the Fermi level ... 0.923 states/eV per atom
Energy relative to the elements ... -0.27 eV per atom
Excess energy over the best structure of this formula in the dataset ... 0.0 meV per atom
Magnetization ... 0.00 μB per formula unit

Cell lengths 11.3139, 11.3139, 4.9761 Å; angles 90.00, 90.00, 154.60 degrees
Element x y z (fractional)
Tb 0.0599 0.9401 0.7500
Tb 0.2498 0.7502 0.7500
Tb 0.4394 0.5606 0.7500
Tb 0.5606 0.4394 0.2500
Tb 0.7502 0.2498 0.2500
Tb 0.9401 0.0599 0.2500
Al 0.1550 0.8450 0.2500
Al 0.8450 0.1550 0.7500
Tl 0.3455 0.6545 0.2500
Tl 0.6545 0.3455 0.7500


Record 8
The following is a DFT calculation (PBE) of an optimized crystal structure of Tl2PW.

Values from the calculation:
V ... 264.6 Å³ per cell
Density of states at the Fermi level ... 0.299 states/eV per atom
Energy relative to the elements ... 0.27 eV per atom
Excess energy over the best structure of this formula in the dataset ... 53.9 meV per atom
Magnetization ... 0.00 μB per formula unit

Cell lengths 3.2490, 3.2490, 28.9469 Å; angles 90.00, 90.00, 120.00 degrees
Element x y z (fractional)
Tl 0.0000 0.0000 0.0000
Tl 0.0000 0.0000 0.2327
Tl 0.3333 0.6667 0.6667
Tl 0.3333 0.6667 0.8993
Tl 0.6667 0.3333 0.3333
Tl 0.6667 0.3333 0.5660
P 0.0000 0.0000 0.7636
P 0.3333 0.6667 0.4303
P 0.6667 0.3333 0.0970
W 0.0000 0.0000 0.4824
W 0.3333 0.6667 0.1490
W 0.6667 0.3333 0.8157


Record 9
The following is a DFT calculation (PBE) of an optimized crystal structure of SrLiGdAu.

Values from the calculation:
V ... 428.4 Å³ per cell
Density of states at the Fermi level ... 1.263 states/eV per atom
Energy relative to the elements ... -0.31 eV per atom
Magnetization ... 7.28 μB per formula unit

Cell lengths 7.5386, 7.5386, 7.5386 Å; angles 90.00, 90.00, 90.00 degrees
Element x y z (fractional)
Sr 0.0000 0.0000 0.0000
Sr 0.0000 0.5000 0.5000
Sr 0.5000 0.0000 0.5000
Sr 0.5000 0.5000 0.0000
Li 0.2500 0.2500 0.2500
Li 0.2500 0.7500 0.7500
Li 0.7500 0.2500 0.7500
Li 0.7500 0.7500 0.2500
Gd 0.0000 0.0000 0.5000
Gd 0.0000 0.5000 0.0000
Gd 0.5000 0.0000 0.0000
Gd 0.5000 0.5000 0.5000
Au 0.2500 0.2500 0.7500
Au 0.2500 0.7500 0.2500
Au 0.7500 0.2500 0.2500
Au 0.7500 0.7500 0.7500


Record 10
The following is a DFT calculation (PBE) of an optimized crystal structure of DyH6Ru.

Values from the calculation:
V ... 64.1 Å³ per cell
Density of states at the Fermi level ... 0.334 states/eV per atom
VASP energy ... -4.42 eV per atom
Magnetization ... 0.82 μB per formula unit

Cell lengths 4.5210, 4.5210, 4.5210 Å; angles 59.16, 59.16, 59.16 degrees
Element x y z (fractional)
Dy 0.0000 0.0000 0.0000
H 0.0500 0.6026 0.6026
H 0.3974 0.3974 0.9500
H 0.3974 0.9500 0.3974
H 0.6026 0.0500 0.6026
H 0.6026 0.6026 0.0500
H 0.9500 0.3974 0.3974
Ru 0.5000 0.5000 0.5000


Record 11
The following is a DFT calculation (PBE) of an optimized crystal structure of Nb7InC2.

Values from the calculation:
V ... 175.4 Å³ per cell
Density of states at the Fermi level ... 0.646 states/eV per atom
Energy relative to the elements ... 0.12 eV per atom
Magnetization ... 0.00 μB per formula unit

Cell lengths 6.7387, 6.7387, 4.3162 Å; angles 90.00, 90.00, 116.48 degrees
Element x y z (fractional)
Nb 0.0000 0.0000 0.0000
Nb 0.1585 0.4311 0.0000
Nb 0.2295 0.7705 0.5000
Nb 0.4311 0.1585 0.0000
Nb 0.5689 0.8415 0.0000
Nb 0.7705 0.2295 0.5000
Nb 0.8415 0.5689 0.0000
In 0.5000 0.5000 0.5000
C 0.2047 0.7953 0.0000
C 0.7953 0.2047 0.0000


Record 12
The following is a DFT calculation (PBE) of an optimized crystal structure of BaRuN2.

Values from the calculation:
V ... 284.1 Å³ per cell
Density of states at the Fermi level ... 0.342 states/eV per atom
Excess energy over the best structure of this formula in the dataset ... 87.4 meV per atom
ΔE_f (raw) ... -115 meV/atom
Magnetization ... 0.00 μB per formula unit

Cell lengths 5.2455, 5.2455, 10.3239 Å; angles 90.00, 90.00, 90.00 degrees
Element x y z (fractional)
Ba 0.0000 0.0000 0.0000
Ba 0.0000 0.5000 0.2500
Ba 0.5000 0.0000 0.7500
Ba 0.5000 0.5000 0.5000
Ru 0.0000 0.0000 0.5000
Ru 0.0000 0.5000 0.7500
Ru 0.5000 0.0000 0.2500
Ru 0.5000 0.5000 0.0000
N 0.1085 0.2500 0.6250
N 0.2500 0.6085 0.8750
N 0.2500 0.8915 0.3750
N 0.3915 0.2500 0.1250
N 0.6085 0.7500 0.1250
N 0.7500 0.1085 0.3750
N 0.7500 0.3915 0.8750
N 0.8915 0.7500 0.6250